# Y2AgCl8

A geometry-optimized Y2AgCl8 structure (PBE, Alexandria).

The crystal system is monoclinic. As for the density of states at the Fermi level: 0.315 states/eV per atom.

It has space group C2/m (No. 12), with a = 22.268 Å, b = 6.258 Å, c = 5.293 Å, α = 90.00°, β = 101.11° and γ = 90.00°. The distinct sites, in fractional coordinates, are Y at (0.168, 0.000, 0.441), Ag at (0.000, 0.000, 0.500), Cl at (0.072, 0.258, 0.374), Cl at (0.172, 0.000, 0.946) and Cl at (0.211, 0.500, 0.460).

=====

# YAgCl

A geometry-optimized YAgCl structure (PBE, Alexandria).

The crystal system is hexagonal. As for the density of states at the Fermi level: 0.671 states/eV per atom.

It has space group P-6m2 (No. 187), with a = 4.7133 Å, b = 4.7133 Å, c = 3.7903 Å, α = 90.00°, β = 90.00° and γ = 120.00°. The distinct sites, in fractional coordinates, are Y at (0.0000, 0.0000, 0.0000), Ag at (0.6667, 0.3333, 0.5000) and Cl at (0.3333, 0.6667, 0.0000).

=====

# YAgCl

A geometry-optimized YAgCl structure (PBE, Alexandria).

The crystal system is cubic. As for the density of states at the Fermi level: 1.054 states/eV per atom.

It has space group F-43m (No. 216), with a = 6.842 Å, b = 6.842 Å, c = 6.842 Å, α = 90.00°, β = 90.00° and γ = 90.00°. The distinct sites, in fractional coordinates, are Y at (0.000, 0.000, 0.000), Ag at (0.250, 0.250, 0.750) and Cl at (0.250, 0.250, 0.250).

=====

# YAg2Cl

A geometry-optimized YAg2Cl structure (PBE, Alexandria).

The crystal system is tetragonal. As for the density of states at the Fermi level: 0.394 states/eV per atom.

It has space group I-4m2 (No. 119), with a = 4.946 Å, b = 4.946 Å, c = 7.024 Å, α = 90.00°, β = 90.00° and γ = 90.00°. The distinct sites, in fractional coordinates, are Y at (0.000, 0.000, 0.000), Ag at (0.000, 0.000, 0.500), Ag at (0.000, 0.500, 0.750) and Cl at (0.000, 0.500, 0.250).

=====

# YAg3Cl

A geometry-optimized YAg3Cl structure (PBE, Alexandria).

The crystal system is cubic. As for the density of states at the Fermi level: 1.733 states/eV per atom.

It has space group Pm-3m (No. 221), with a = 5.642 Å, b = 5.642 Å, c = 5.642 Å, α = 90.00°, β = 90.00° and γ = 90.00°. The distinct sites, in fractional coordinates, are Y at (0.000, 0.000, 0.000), Ag at (0.000, 0.000, 0.500) and Cl at (0.500, 0.500, 0.500).

=====

# YAgCl2

A geometry-optimized YAgCl2 structure (PBE, Alexandria).

The crystal system is cubic.

It has space group F-43m (No. 216), with a = 7.084 Å, b = 7.084 Å, c = 7.084 Å, α = 90.00°, β = 90.00° and γ = 90.00°. The distinct sites, in fractional coordinates, are Y at (0.000, 0.000, 0.000), Ag at (0.250, 0.250, 0.750), Cl at (0.000, 0.000, 0.500) and Cl at (0.250, 0.250, 0.250).

=====

# YAgCl3

A geometry-optimized YAgCl3 structure (PBE, Alexandria).

The crystal system is cubic. As for the density of states at the Fermi level: 0.846 states/eV per atom.

It has space group Pm-3m (No. 221), with a = 5.106 Å, b = 5.106 Å, c = 5.106 Å, α = 90.00°, β = 90.00° and γ = 90.00°. The distinct sites, in fractional coordinates, are Y at (0.000, 0.000, 0.000), Ag at (0.500, 0.500, 0.500) and Cl at (0.000, 0.500, 0.500).

=====

# YAg2Cl

A geometry-optimized YAg2Cl structure (PBE, Alexandria).

The crystal system is monoclinic. As for the density of states at the Fermi level: 0.459 states/eV per atom.

It has space group Pm (No. 6), with a = 3.387 Å, b = 3.387 Å, c = 8.652 Å, α = 90.00°, β = 100.55° and γ = 90.00°. The distinct sites, in fractional coordinates, are Y at (0.000, 0.000, 0.000), Ag at (0.195, 0.000, 0.417), Ag at (0.610, 0.500, 0.235) and Cl at (0.410, 0.500, 0.810).

=====

Calculated total energy readings, ordered: -4.431, -4.419, -4.240, -3.930, -2.542, -4.047, -3.574, -4.079 eV/atom